# GGA-PBE LiHoTmSc, optimized geometry
data_LiHoTmSc
_chemical_formula_sum 'Li4 Ho4 Tm4 Sc4'
_cell_length_a 7.484
_cell_length_b 7.484
_cell_length_c 7.484
_cell_angle_alpha 90.00
_cell_angle_beta 90.00
_cell_angle_gamma 90.00
_symmetry_space_group_name_H-M 'F -4 3 m'
_symmetry_Int_Tables_number 216
_symmetry_space_group_name_Hall 'F -4 2 3'
loop_
_atom_site_label
_atom_site_type_symbol
_atom_site_fract_x
_atom_site_fract_y
_atom_site_fract_z
_atom_site_occupancy
Li1 Li 0.000 0.000 0.000 1
Ho1 Ho 0.250 0.250 0.750 1
Tm1 Tm 0.250 0.250 0.250 1
Sc1 Sc 0.000 0.000 0.500 1
# - energy relative to the elements (meV per atom) = 160
# - DOS at the Fermi energy (states/eV/atom) = 0.985